Crystalline LaCdSiHg at its relaxed geometry. Source: Alexandria, functional PBE-GGA.

Values from the calculation:
As for the space group: No. 216. The total energy is -3.139 eV per atom.

Unit cell a=5.167 b=5.167 c=5.167 alpha=60.00 beta=60.00 gamma=60.00
Atoms (fractional coordinates):
Cd: 0.500 0.500 0.500
Hg: 0.250 0.250 0.250
La: 0.000 0.000 0.000
Si: 0.750 0.750 0.750